No. 1
Here is an optimized crystal structure of PrZnCd3 from the Alexandria database. Energies are from PBE.

Cell lengths 7.210, 4.533, 7.473 Å; angles 90.00, 104.56, 90.00 degrees
Space group P2_1/m (No. 11)
One atom of each set of equivalent atoms:
Pr (0.207, 0.250, 0.171) x2
Zn (0.465, 0.250, 0.756) x2
Cd (0.066, 0.250, 0.658) x2
Cd (0.298, 0.750, 0.892) x2
Cd (0.342, 0.750, 0.517) x2

Calculated values
Volume: 118 Å³/f.u.
Crystal system: monoclinic
ΔE_f: -237 meV per atom
Offset from the most stable computed form: 7 meV/atom
Electronic total energy: -10.0 eV per formula unit



No. 2
Here is an optimized crystal structure of Na4MnIn3Se8 from the Alexandria database. Energies are from PBE.

Cell lengths 7.9580, 7.9580, 21.0817 Å; angles 90.00, 90.00, 120.00 degrees
Space group R-3m (No. 166, hexagonal axes)
One atom of each set of equivalent atoms:
Na (0.0000, 0.0000, 0.0000) x3
Na (0.0000, 0.5000, 0.0000) x9
Mn (0.0000, 0.0000, 0.5000) x3
In (0.0000, 0.5000, 0.5000) x9
Se (0.0000, 0.0000, 0.2407) x6
Se (0.0143, 0.5071, 0.2383) x18

Calculated values
Volume: 385 Å³/f.u.
Crystal system: trigonal
Energy relative to the elements, uncorrected: -769 meV/atom
Electronic total energy: -62.8 eV per formula unit



No. 3
Here is an optimized crystal structure of LiNd2P3Pt4 from the Alexandria database. Energies are from PBE.

Cell lengths 4.241, 4.241, 9.737 Å; angles 90.00, 90.00, 90.00 degrees
Space group P-4m2 (No. 115)
One atom of each set of equivalent atoms:
Li (0.000, 0.000, 0.000) x1
Nd (0.000, 0.500, 0.747) x2
P (0.000, 0.500, 0.363) x2
P (0.500, 0.500, 0.000) x1
Pt (0.000, 0.000, 0.500) x1
Pt (0.000, 0.500, 0.120) x2
Pt (0.500, 0.500, 0.500) x1

Calculated values
Volume: 175 Å³/f.u.
Crystal system: tetragonal
ΔE_f: -1006 meV per atom
Electronic total energy: -61.9 eV per formula unit



No. 4
Here is an optimized crystal structure of LiTa2Pt6 from the Alexandria database. Energies are from PBE.

Cell lengths 3.947, 6.638, 12.113 Å; angles 90.00, 90.00, 90.00 degrees
Space group Immm (No. 71)
One atom of each set of equivalent atoms:
Li (0.000, 0.000, 0.000) x2
Ta (0.000, 0.000, 0.348) x4
Pt (0.000, 0.233, 0.165) x8
Pt (0.000, 0.275, 0.500) x4

Calculated values
Volume: 159 Å³/f.u.
Crystal system: orthorhombic
ΔE_f: -461 meV per atom
Electronic total energy: -66.0 eV per formula unit